NaVOF2: optimized geometry, PBE+U.

Cell: 5.6413 5.5287 5.5257 Å, 61.37 59.34 59.29°
Closest atoms and distances in Å follow each position.
Element x y z (fractional)
Na 0.2488 0.7512 0.7512  4 F 2.37-2.39
Na 0.7512 0.2488 0.2488  4 F 2.37-2.39
V 0.0000 0.5000 0.5000  2 O 1.91, 4 F 2.07-2.08
V 0.5000 0.0000 0.0000  2 O 1.91, 4 F 2.07-2.08
O 0.2500 0.2500 0.2500  2 V 1.91
O 0.7500 0.7500 0.7500  2 V 1.91
F 0.1764 0.8236 0.1764  2 V 2.08
F 0.3218 0.3218 0.6782  2 V 2.07
F 0.6782 0.6782 0.3218  2 V 2.07
F 0.8236 0.1764 0.8236  2 V 2.08

Output
Magnetization ... 4.0 μB/cell
ΔE to the lowest computed polymorph ... 0 meV/atom
SG ... Fmmm, No. 69